Record 1
Material: MgSiTcW2
Method: DFT, GGA-PBE
State: optimized geometry

Summary:
spin magnetization: 0.56 Bohr magnetons per cell
raw total energy: -34.8 eV per cell
raw formation energy: 1690 meV per atom

```
5
Lattice="4.690 0.000 0.000 0.000 4.867 0.000 0.000 0.000 4.690" Properties=species:S:1:pos:R:3 pbc="T T T"
W 2.345 0.000 0.000
Tc 0.000 0.000 0.000
W 0.000 0.000 2.345
Si 2.345 2.434 2.345
Mg 0.000 2.434 0.000
```


Record 2
Material: MgZrSi2Tc
Method: DFT, GGA-PBE
State: optimized geometry

Summary:
spin magnetization: 0.29 Bohr magnetons per cell
raw total energy: -25.7 eV per cell
raw formation energy: 1131 meV per atom

```
5
Lattice="-3.549 -1.694 -2.402 2.641 -0.391 -3.627 1.156 -4.267 1.302" Properties=species:S:1:pos:R:3 pbc="T T T"
Si -1.775 -0.847 -1.201
Tc 1.320 -0.196 -1.813
Mg 0.000 0.000 0.000
Zr 0.124 -3.176 -2.363
Si 0.578 -2.133 0.651
```


Record 3
Material: MgSi2Te
Method: DFT, GGA-PBE
State: optimized geometry

Summary:
offset from the most stable computed form: 169 meV per atom
spin magnetization: 0.00 Bohr magnetons per cell
raw total energy: -14.5 eV per cell
raw formation energy: 260 meV per atom

```
4
Lattice="5.467 0.008 0.008 1.942 5.110 -0.008 -3.133 -3.386 2.933" Properties=species:S:1:pos:R:3 pbc="T T T"
Si 3.255 -0.246 1.471
Mg 1.112 2.042 1.463
Si 7.128 4.924 0.000
Te 3.893 2.689 0.000
```


Record 4
Material: Mg2SiTe
Method: DFT, GGA-PBE
State: optimized geometry

Summary:
offset from the most stable computed form: 169 meV per atom
spin magnetization: 0.00 Bohr magnetons per cell
raw total energy: -11.6 eV per cell
raw formation energy: 32 meV per atom

```
4
Lattice="-3.048 2.754 -3.154 -0.467 -3.272 -3.987 -0.913 -1.080 4.982" Properties=species:S:1:pos:R:3 pbc="T T T"
Mg 0.000 0.000 0.000
Si -1.569 -2.306 -1.288
Te -2.859 0.708 -0.871
Mg -1.758 -0.259 -3.571
```


Record 5
Material: Mg2SiTe
Method: DFT, GGA-PBE
State: optimized geometry

Summary:
offset from the most stable computed form: 93 meV per atom
spin magnetization: 0.00 Bohr magnetons per cell
raw total energy: -11.9 eV per cell
raw formation energy: -44 meV per atom

```
4
Lattice="-1.923 0.171 -3.253 -3.156 -0.681 1.830 -3.591 5.554 2.414" Properties=species:S:1:pos:R:3 pbc="T T T"
Te -6.022 3.740 1.556
Mg -3.208 -0.574 1.866
Si -2.648 1.304 -0.566
Mg -3.322 2.330 2.086
```


Record 6
Material: MgSiTe
Method: DFT, GGA-PBE
State: optimized geometry

Summary:
offset from the most stable computed form: 156 meV per atom
spin magnetization: 0.00 Bohr magnetons per cell
raw total energy: -21.0 eV per cell
raw formation energy: -111 meV per atom

```
6
Lattice="-0.437 1.500 3.432 2.311 -1.005 2.805 8.286 9.328 -0.952" Properties=species:S:1:pos:R:3 pbc="T T T"
Mg 6.619 6.753 2.033
Si 5.417 4.733 4.835
Mg 3.541 3.071 3.251
Te 1.769 1.534 1.626
Si 4.743 5.090 0.450
Te 8.391 8.290 3.658
```


Record 7
Material: Mg2SiTe
Method: DFT, GGA-PBE
State: optimized geometry

Summary:
offset from the most stable computed form: 210 meV per atom
spin magnetization: 0.00 Bohr magnetons per cell
raw total energy: -11.5 eV per cell
raw formation energy: 73 meV per atom

```
4
Lattice="1.682 -0.730 4.647 2.317 3.700 2.428 -2.246 2.251 3.853" Properties=species:S:1:pos:R:3 pbc="T T T"
Mg 0.438 1.305 2.732
Te 0.877 2.611 5.464
Si 0.000 0.000 0.000
Mg 1.315 3.916 8.195
```


Record 8
Material: MgSiTe
Method: DFT, GGA-PBE
State: optimized geometry

Summary:
offset from the most stable computed form: 26 meV per atom
spin magnetization: 0.00 Bohr magnetons per cell
raw total energy: -43.5 eV per cell
raw formation energy: -242 meV per atom

```
12
Lattice="-2.234 1.015 3.309 -5.537 -2.389 -3.005 2.337 -12.036 5.262" Properties=species:S:1:pos:R:3 pbc="T T T"
Te -3.953 -5.441 0.288
Si -3.599 -13.493 2.983
Te -2.643 -1.947 2.650
Mg -1.029 -7.898 5.574
Mg -0.774 -3.945 1.961
Mg -4.966 -3.075 1.441
Te -0.016 -10.265 4.421
Si -1.999 -6.280 1.855
Si -2.898 -6.897 4.002
Si -6.835 -2.074 -0.132
Te -4.243 -9.159 3.778
Mg -2.374 -11.157 3.089
```


Record 9
Material: Mg2SiTe
Method: DFT, GGA-PBE
State: optimized geometry

Summary:
offset from the most stable computed form: 125 meV per atom
spin magnetization: 0.00 Bohr magnetons per cell
raw total energy: -11.8 eV per cell
raw formation energy: -12 meV per atom

```
4
Lattice="-2.033 -3.073 3.418 0.165 -1.617 -6.490 2.181 -2.864 -0.719" Properties=species:S:1:pos:R:3 pbc="T T T"
Si -0.934 -2.345 -1.536
Mg 0.000 0.000 0.000
Mg 1.173 -2.240 -3.604
Te 0.074 -2.969 1.350
```


Record 10
Material: Mg2SiTe
Method: DFT, GGA-PBE
State: optimized geometry

Summary:
offset from the most stable computed form: 0 meV per atom
spin magnetization: 0.00 Bohr magnetons per cell
raw total energy: -12.3 eV per cell
raw formation energy: -137 meV per atom

```
4
Lattice="-3.335 -0.294 7.296 -0.521 -2.707 7.539 0.107 0.929 7.973" Properties=species:S:1:pos:R:3 pbc="T T T"
Te -2.811 -1.553 17.106
Mg -1.896 -1.048 11.536
Mg -3.726 -2.059 22.675
Si -0.937 -0.518 5.702
```


Record 11
Material: Mg2SiTe
Method: DFT, GGA-PBE
State: optimized geometry

Summary:
offset from the most stable computed form: 25 meV per atom
spin magnetization: 0.00 Bohr magnetons per cell
raw total energy: -12.2 eV per cell
raw formation energy: -112 meV per atom

```
4
Lattice="-2.501 1.074 -1.543 -0.781 -3.955 -1.485 -4.449 -1.451 6.203" Properties=species:S:1:pos:R:3 pbc="T T T"
Te -5.176 -2.593 3.414
Si -1.397 -0.456 1.948
Mg -3.462 -2.034 1.024
Mg -4.370 -1.425 6.093
```


Record 12
Material: Mg3SiTe
Method: DFT, GGA-PBE
State: optimized geometry

Summary:
offset from the most stable computed form: 0 meV per atom
spin magnetization: 0.00 Bohr magnetons per cell
raw total energy: -14.4 eV per cell
raw formation energy: -203 meV per atom

```
5
Lattice="5.041 0.000 0.000 0.000 5.041 0.000 0.000 0.000 5.041" Properties=species:S:1:pos:R:3 pbc="T T T"
Mg 2.520 0.000 0.000
Mg 0.000 2.520 0.000
Si 0.000 0.000 0.000
Mg 0.000 0.000 2.520
Te 2.520 2.520 2.520
```